1.
# Sc2TiNbN4 (PBE-GGA, relaxed)
# * spin magnetization: 0.000 μB per cell
# * formation energy from raw total energies: -1.66 eV per atom
data_Sc2TiNbN4
_chemical_formula_sum 'Sc2 Ti1 Nb1 N4'
_cell_length_a 5.400
_cell_length_b 3.108
_cell_length_c 5.448
_cell_angle_alpha 90.00
_cell_angle_beta 109.20
_cell_angle_gamma 90.00
_space_group_name_H-M_alt 'P 1 2/m 1'
_space_group_IT_number 10
_space_group_name_Hall '-P 2y'
loop_
_atom_site_label
_atom_site_type_symbol
_atom_site_fract_x
_atom_site_fract_y
_atom_site_fract_z
Sc1 Sc 0.000 0.000 0.000
Sc2 Sc 0.500 0.500 0.000
Ti1 Ti 0.000 0.500 0.500
Nb1 Nb 0.500 0.000 0.500
N1 N 0.242 0.000 0.741
N2 N 0.247 0.500 0.255

2.
# TbPr5Mg4 (PBE-GGA, relaxed)
# * spin magnetization: 0.000 μB per cell
# * formation energy from the elements: -0.080 eV per atom
data_TbPr5Mg4
_chemical_formula_sum 'Tb1 Pr5 Mg4'
_cell_length_a 3.857
_cell_length_b 3.857
_cell_length_c 20.774
_cell_angle_alpha 90.00
_cell_angle_beta 90.00
_cell_angle_gamma 90.00
_space_group_name_H-M_alt 'P 4/m m m'
_space_group_IT_number 123
_space_group_name_Hall '-P 4 2'
loop_
_atom_site_label
_atom_site_type_symbol
_atom_site_fract_x
_atom_site_fract_y
_atom_site_fract_z
Tb1 Tb 0.000 0.000 0.000
Pr1 Pr 0.500 0.500 0.116
Pr2 Pr 0.500 0.500 0.309
Pr3 Pr 0.500 0.500 0.500
Mg1 Mg 0.000 0.000 0.212
Mg2 Mg 0.000 0.000 0.404

3.
# PmEr3Ga8 (PBE-GGA, relaxed)
# * spin magnetization: 0.000 μB per cell
# * formation energy from the elements: -0.539 eV per atom
data_PmEr3Ga8
_chemical_formula_sum 'Pm1 Er3 Ga8'
_cell_length_a 5.4520
_cell_length_b 5.4520
_cell_length_c 9.2574
_cell_angle_alpha 90.00
_cell_angle_beta 90.00
_cell_angle_gamma 120.00
_space_group_name_H-M_alt 'P 3 m 1'
_space_group_IT_number 156
_space_group_name_Hall 'P 3 -2"'
loop_
_atom_site_label
_atom_site_type_symbol
_atom_site_fract_x
_atom_site_fract_y
_atom_site_fract_z
Pm1 Pm 0.0000 0.0000 0.0000
Er1 Er 0.0000 0.0000 0.3607
Er2 Er 0.6667 0.3333 0.4993
Er3 Er 0.6667 0.3333 0.8581
Ga1 Ga 0.1611 0.3222 0.6777
Ga2 Ga 0.3333 0.6667 0.4318
Ga3 Ga 0.3333 0.6667 0.9278
Ga4 Ga 0.5052 0.0103 0.1841

4.
# MnTcAsRu (PBE-GGA, relaxed)
# * spin magnetization: 11.779 μB per cell
# * formation energy from the elements: -0.132 eV per atom
data_MnTcAsRu
_chemical_formula_sum 'Mn4 Tc4 As4 Ru4'
_cell_length_a 6.040
_cell_length_b 6.040
_cell_length_c 6.040
_cell_angle_alpha 90.00
_cell_angle_beta 90.00
_cell_angle_gamma 90.00
_space_group_name_H-M_alt 'F -4 3 m'
_space_group_IT_number 216
_space_group_name_Hall 'F -4 2 3'
loop_
_atom_site_label
_atom_site_type_symbol
_atom_site_fract_x
_atom_site_fract_y
_atom_site_fract_z
Mn1 Mn 0.000 0.000 0.000
Tc1 Tc 0.250 0.250 0.250
As1 As 0.000 0.000 0.500
Ru1 Ru 0.250 0.250 0.750